Entry 1:
First-principles (PBE-GGA) data for La5AlZn2 after structural relaxation, as listed in Alexandria via LeMat-Bulk.

a = 8.5815 Å, b = 8.5815 Å, c = 12.7993 Å
α = 90.00°, β = 90.00°, γ = 90.00°
Space group I4/mcm (No. 140)
One atom of each set of equivalent atoms:
La (0.0000, 0.0000, 0.0000)
La (0.1613, 0.3387, 0.1511)
Al (0.0000, 0.0000, 0.2500)
Zn (0.1336, 0.3664, 0.5000)

Computed properties:
ΔE_f: -0.230 eV/atom

---

Entry 2:
First-principles (PBE-GGA) data for Tl2SnF after structural relaxation, as listed in Alexandria via LeMat-Bulk.

a = 7.3043 Å, b = 7.3043 Å, c = 7.3043 Å
α = 90.00°, β = 90.00°, γ = 90.00°
Space group Fm-3m (No. 225)
One atom of each set of equivalent atoms:
Tl (0.2500, 0.2500, 0.2500)
Sn (0.0000, 0.0000, 0.0000)
F (0.0000, 0.0000, 0.5000)

Computed properties:
Polymorph energy (0 for the lowest one): 105 meV per atom

---

Entry 3:
First-principles (PBE-GGA) data for UCuSnIr after structural relaxation, as listed in Alexandria via LeMat-Bulk.

a = 6.7054 Å, b = 6.7054 Å, c = 6.7054 Å
α = 90.00°, β = 90.00°, γ = 90.00°
Space group F-43m (No. 216)
One atom of each set of equivalent atoms:
U (0.0000, 0.0000, 0.0000)
Cu (0.2500, 0.2500, 0.7500)
Sn (0.0000, 0.0000, 0.5000)
Ir (0.2500, 0.2500, 0.2500)

Computed properties:
ΔE_f: -0.157 eV/atom

---

Entry 4:
First-principles (PBE-GGA) data for NbBiSbTe2 after structural relaxation, as listed in Alexandria via LeMat-Bulk.

a = 5.3656 Å, b = 5.3656 Å, c = 5.5315 Å
α = 90.00°, β = 90.00°, γ = 90.00°
Space group P4/mmm (No. 123)
One atom of each set of equivalent atoms:
Nb (0.0000, 0.0000, 0.0000)
Bi (0.5000, 0.5000, 0.5000)
Sb (0.0000, 0.0000, 0.5000)
Te (0.0000, 0.5000, 0.0000)

Computed properties:
Polymorph energy (0 for the lowest one): 0 meV per atom

---

Entry 5:
First-principles (PBE-GGA) data for Sm2DyHo3Sb6 after structural relaxation, as listed in Alexandria via LeMat-Bulk.

a = 19.1965 Å, b = 4.4056 Å, c = 8.8091 Å
α = 90.00°, β = 103.20°, γ = 90.00°
Space group C2/m (No. 12)
One atom of each set of equivalent atoms:
Sm (0.1662, 0.0000, 0.3327)
Dy (0.0000, 0.5000, 0.0000)
Ho (0.0000, 0.5000, 0.5000)
Ho (0.1674, 0.0000, 0.8335)
Sb (0.0020, 0.0000, 0.7503)
Sb (0.1652, 0.5000, 0.5870)
Sb (0.1666, 0.5000, 0.0784)

Computed properties:
Total DFT energy (no corrections): -132.29 eV per cell

---

Entry 6:
First-principles (PBE-GGA) data for SrAcZn2Sn2 after structural relaxation, as listed in Alexandria via LeMat-Bulk.

a = 4.6382 Å, b = 4.6382 Å, c = 9.2619 Å
α = 90.00°, β = 90.00°, γ = 120.00°
Space group P-3m1 (No. 164)
One atom of each set of equivalent atoms:
Sr (0.0000, 0.0000, 0.0000)
Ac (0.0000, 0.0000, 0.5000)
Zn (0.3333, 0.6667, 0.2750)
Sn (0.3333, 0.6667, 0.7548)

Computed properties:
ΔE_f: -0.560 eV/atom

---

Entry 7:
First-principles (PBE-GGA) data for Tb5NdDy2 after structural relaxation, as listed in Alexandria via LeMat-Bulk.

a = 7.1487 Å, b = 14.2987 Å, c = 5.0383 Å
α = 90.00°, β = 90.00°, γ = 90.00°
Space group Pbam (No. 55)
One atom of each set of equivalent atoms:
Tb (0.0000, 0.0000, 0.0000)
Tb (0.0007, 0.2491, 0.0000)
Tb (0.2489, 0.8743, 0.5000)
Nd (0.0000, 0.5000, 0.0000)
Dy (0.2499, 0.1256, 0.5000)

Computed properties:
ΔE_f: 0.015 eV/atom
Polymorph energy (0 for the lowest one): 0 meV per atom

---

Entry 8:
First-principles (PBE-GGA) data for TbNpGa2 after structural relaxation, as listed in Alexandria via LeMat-Bulk.

a = 7.1360 Å, b = 7.1360 Å, c = 7.1360 Å
α = 90.00°, β = 90.00°, γ = 90.00°
Space group Fm-3m (No. 225)
One atom of each set of equivalent atoms:
Tb (0.0000, 0.0000, 0.0000)
Np (0.0000, 0.0000, 0.5000)
Ga (0.2500, 0.2500, 0.2500)

Computed properties:
ΔE_f: -0.229 eV/atom

---

Entry 9:
First-principles (PBE-GGA) data for ReTeSe after structural relaxation, as listed in Alexandria via LeMat-Bulk.

a = 3.2996 Å, b = 3.2996 Å, c = 7.5230 Å
α = 90.00°, β = 90.00°, γ = 120.00°
Space group P3m1 (No. 156)
One atom of each set of equivalent atoms:
Re (0.0000, 0.0000, 0.0000)
Te (0.3333, 0.6667, 0.7261)
Se (0.6667, 0.3333, 0.2166)

Computed properties:
Total DFT energy (no corrections): -18.71 eV per cell

---

Entry 10:
First-principles (PBE-GGA) data for Te2AsBr after structural relaxation, as listed in Alexandria via LeMat-Bulk.

a = 3.8073 Å, b = 5.4100 Å, c = 11.4010 Å
α = 90.00°, β = 90.00°, γ = 90.00°
Space group Cmm2 (No. 35)
One atom of each set of equivalent atoms:
Te (0.0000, 0.0000, 0.0000)
Te (0.0000, 0.5000, 0.2969)
As (0.0000, 0.5000, 0.8136)
Br (0.0000, 0.0000, 0.6391)

Computed properties:
Polymorph energy (0 for the lowest one): 337 meV per atom

---

Entry 11:
First-principles (PBE-GGA) data for Nd2Sm3Sc2 after structural relaxation, as listed in Alexandria via LeMat-Bulk.

a = 3.4329 Å, b = 3.4147 Å, c = 19.2317 Å
α = 90.00°, β = 95.12°, γ = 90.00°
Space group P2/m (No. 10)
One atom of each set of equivalent atoms:
Nd (0.0767, 0.0000, 0.1593)
Sm (0.2064, 0.0000, 0.4184)
Sm (0.5000, 0.0000, 0.0000)
Sc (0.3581, 0.5000, 0.7096)

Computed properties:
ΔE_f: 0.206 eV/atom
Polymorph energy (0 for the lowest one): 156 meV per atom

---

Entry 12:
First-principles (PBE-GGA) data for MnCd2CoC after structural relaxation, as listed in Alexandria via LeMat-Bulk.

a = 4.9163 Å, b = 4.9163 Å, c = 4.0503 Å
α = 90.00°, β = 90.00°, γ = 90.00°
Space group P4/mmm (No. 123)
One atom of each set of equivalent atoms:
Mn (0.0000, 0.0000, 0.0000)
Cd (0.0000, 0.5000, 0.5000)
Co (0.0000, 0.0000, 0.5000)
C (0.5000, 0.5000, 0.0000)

Computed properties:
ΔE_f: 1.947 eV/atom

---

Entry 13:
First-principles (PBE-GGA) data for SrCrIrPd2 after structural relaxation, as listed in Alexandria via LeMat-Bulk.

a = 4.7706 Å, b = 4.7706 Å, c = 4.5400 Å
α = 90.00°, β = 90.00°, γ = 90.00°
Space group P4/mmm (No. 123)
One atom of each set of equivalent atoms:
Sr (0.0000, 0.0000, 0.0000)
Cr (0.5000, 0.5000, 0.5000)
Ir (0.5000, 0.5000, 0.0000)
Pd (0.0000, 0.5000, 0.5000)

Computed properties:
ΔE_f: 0.273 eV/atom